DFT (PBE) results for a geometry-optimized Er12Mg2Al5 structure.

Geometry as POSCAR:
```
Er12Mg2Al5
1.0
10.556 0.000 0.000
-5.278 5.858 1.825
0.000 -0.087 8.145
Er Mg Al
12 2 5
direct
0.901 0.801 0.175
0.983 0.653 0.822
0.669 0.653 0.822
0.160 0.781 0.407
0.621 0.781 0.407
0.390 0.779 0.734
0.610 0.221 0.266
0.840 0.219 0.593
0.379 0.219 0.593
0.017 0.347 0.178
0.331 0.347 0.178
0.099 0.199 0.825
0.718 0.000 0.000
0.282 0.000 0.000
0.234 0.468 0.460
0.389 0.778 0.150
0.000 0.000 0.500
0.611 0.222 0.850
0.766 0.532 0.540
```

Calculated values
Total moment (μB per atom): 0.0000
Symmetry: C2/m
Formation enthalpy at 0 K (kJ/mol of atoms): -13.8